[1]
VASP calculation (GGA-PBE) on a relaxed LaNd6Er2Tm crystal.

Summary:
- D(E_F) (states/eV/f.u.) = 14.49
- energy of formation (eV/atom) = 0.114
- electronic total energy (eV/atom) = -4.599
- space-group type = C2/c

```
data_LaNd6Er2Tm
_cell_length_a 8.9496
_cell_length_b 8.9496
_cell_length_c 9.6524
_cell_angle_alpha 93.26
_cell_angle_beta 93.26
_cell_angle_gamma 116.52
_space_group_name_H-M_alt 'P 1'
_space_group_IT_number 1
_space_group_name_Hall 'P 1'
loop_
_atom_site_label
_atom_site_fract_x
_atom_site_fract_y
_atom_site_fract_z
La1 0.0328 0.9672 0.7500
La2 0.9672 0.0328 0.2500
Nd1 0.0045 0.5568 0.6844
Nd2 0.1158 0.7597 0.0565
Nd3 0.2403 0.8842 0.4435
Nd4 0.2947 0.5168 0.8840
Nd5 0.4432 0.9955 0.8156
Nd6 0.4832 0.7053 0.6160
Nd7 0.5168 0.2947 0.3840
Nd8 0.5568 0.0045 0.1844
Nd9 0.7053 0.4832 0.1160
Nd10 0.7597 0.1158 0.5565
Nd11 0.8842 0.2403 0.9435
Nd12 0.9955 0.4432 0.3156
Er1 0.2045 0.3022 0.5513
Er2 0.3022 0.2045 0.0513
Er3 0.6978 0.7955 0.9487
Er4 0.7955 0.6978 0.4487
Tm1 0.4117 0.5883 0.2500
Tm2 0.5883 0.4117 0.7500
```

[2]
VASP calculation (GGA-PBE) on a relaxed AcPr5Sm2 crystal.

Summary:
- D(E_F) (states/eV/f.u.) = 12.53
- energy of formation (eV/atom) = 0.019
- electronic total energy (eV/atom) = -4.662
- space-group type = Pbam

```
data_AcPr5Sm2
_cell_length_a 7.4489
_cell_length_b 14.9062
_cell_length_c 5.2671
_cell_angle_alpha 90.00
_cell_angle_beta 90.00
_cell_angle_gamma 90.00
_space_group_name_H-M_alt 'P 1'
_space_group_IT_number 1
_space_group_name_Hall 'P 1'
loop_
_atom_site_label
_atom_site_fract_x
_atom_site_fract_y
_atom_site_fract_z
Ac1 0.0000 0.0000 0.0000
Ac2 0.5000 0.5000 0.0000
Pr1 0.0000 0.5000 0.0000
Pr2 0.0018 0.2524 0.0000
Pr3 0.2467 0.6270 0.5000
Pr4 0.2533 0.1270 0.5000
Pr5 0.4982 0.7524 0.0000
Pr6 0.5000 0.0000 0.0000
Pr7 0.5018 0.2476 0.0000
Pr8 0.7467 0.8730 0.5000
Pr9 0.7533 0.3730 0.5000
Pr10 0.9982 0.7476 0.0000
Sm1 0.2495 0.3730 0.5000
Sm2 0.2505 0.8730 0.5000
Sm3 0.7495 0.1270 0.5000
Sm4 0.7505 0.6270 0.5000
```

Question: What is the formula in the first record?
Answer: LaNd6Er2Tm

Question: Which of these has the highest D(E_F)?
Answer: LaNd6Er2Tm

Please write out number 2 again, unchanged.
VASP calculation (GGA-PBE) on a relaxed AcPr5Sm2 crystal.

Summary:
- D(E_F) (states/eV/f.u.) = 12.53
- energy of formation (eV/atom) = 0.019
- electronic total energy (eV/atom) = -4.662
- space-group type = Pbam

```
data_AcPr5Sm2
_cell_length_a 7.4489
_cell_length_b 14.9062
_cell_length_c 5.2671
_cell_angle_alpha 90.00
_cell_angle_beta 90.00
_cell_angle_gamma 90.00
_space_group_name_H-M_alt 'P 1'
_space_group_IT_number 1
_space_group_name_Hall 'P 1'
loop_
_atom_site_label
_atom_site_fract_x
_atom_site_fract_y
_atom_site_fract_z
Ac1 0.0000 0.0000 0.0000
Ac2 0.5000 0.5000 0.0000
Pr1 0.0000 0.5000 0.0000
Pr2 0.0018 0.2524 0.0000
Pr3 0.2467 0.6270 0.5000
Pr4 0.2533 0.1270 0.5000
Pr5 0.4982 0.7524 0.0000
Pr6 0.5000 0.0000 0.0000
Pr7 0.5018 0.2476 0.0000
Pr8 0.7467 0.8730 0.5000
Pr9 0.7533 0.3730 0.5000
Pr10 0.9982 0.7476 0.0000
Sm1 0.2495 0.3730 0.5000
Sm2 0.2505 0.8730 0.5000
Sm3 0.7495 0.1270 0.5000
Sm4 0.7505 0.6270 0.5000
```